Record 1
A plane-wave DFT calculation with PBE was carried out for a relaxed LiP2W crystal.

The structure in POSCAR format:
```
LiP2W
1.0
0.000 3.014 3.014
3.014 0.000 3.014
3.014 3.014 0.000
Li P W
1 2 1
Cartesian
0.000 0.000 0.000
1.507 1.507 1.507
4.521 4.521 4.521
3.014 3.014 3.014
```

Energy above the most stable polymorph in this dataset (eV/atom): 0.324


Record 2
A plane-wave DFT calculation with PBE was carried out for a relaxed ErIBr crystal.

The structure in POSCAR format:
```
ErIBr
1.0
-2.981 2.254 -1.353
2.472 -1.771 -2.559
-4.634 -6.229 -0.166
Br Er I
1 1 1
Cartesian
-1.980 -3.971 -2.252
-2.754 -1.226 -1.812
-0.409 -0.550 -0.015
```

Formation energy without anion corrections (meV/atom): -1338
Energy above the most stable polymorph in this dataset (eV/atom): 0.012


Record 3
A plane-wave DFT calculation with PBE was carried out for a relaxed CsNaLa2Ir crystal.

The structure in POSCAR format:
```
CsNaLa2Ir
1.0
-4.286 -2.517 -2.521
3.533 -3.509 -2.504
-0.535 -4.130 5.031
La Na Ir Cs
2 1 1 1
Cartesian
1.767 -1.754 -1.252
-2.143 -1.258 -1.261
-0.267 -2.065 2.516
0.000 0.000 0.000
-0.644 -5.077 0.003
```

Calculated total energy (eV per atom): -4.2326


Record 4
A plane-wave DFT calculation with PBE was carried out for a relaxed BaMgRe crystal.

The structure in POSCAR format:
```
BaMgRe
1.0
5.250 0.000 0.000
2.625 4.547 0.000
2.625 1.516 4.287
Ba Re Mg
1 1 1
Cartesian
2.625 1.516 1.072
5.250 3.031 2.143
0.000 0.000 0.000
```

Energy above the most stable polymorph in this dataset (eV/atom): 0.971


no.,magnetization (μB per atom)
1,0.00
2,0.00
3,0.00
4,1.00